# Ba5Tl

Crystalline Ba5Tl at its relaxed geometry (PBE, Alexandria via LeMat-Bulk).

Output
Its space-group type is P4/mmm. The energy relative to the lowest polymorph listed for this composition comes out at 0.007 eV per atom. The calculation puts the density of states at the Fermi level at 9.105 states/eV/f.u. As for the magnetic moment: 0.039 μB/atom. Its final energy is -12.8 eV per formula unit. The formation energy comes out at -0.77 eV per formula unit.

abc: 4.363 4.363 17.646
angles: 90.00 90.00 90.00
Fractional positions:
Ba 0.000 0.000 0.886
Ba 0.000 0.000 0.114
Ba 0.500 0.500 0.688
Ba 0.500 0.500 0.312
Ba 0.000 0.000 0.500
Tl 0.500 0.500 0.000

=====

# Ba3Tl

Crystalline Ba3Tl at its relaxed geometry (PBE, Alexandria via LeMat-Bulk).

Output
Its space-group type is C2/m. The calculation puts the density of states at the Fermi level at 5.169 states/eV/f.u. As for the magnetic moment: 0.004 μB/atom. Its final energy is -8.6 eV per formula unit. The formation energy comes out at -0.51 eV per formula unit.

abc: 7.937 7.937 9.482
angles: 98.51 98.51 130.43
Fractional positions:
Ba 0.780 0.450 0.230
Ba 0.450 0.780 0.230
Ba 0.831 0.831 0.663
Ba 0.169 0.169 0.337
Ba 0.550 0.220 0.770
Ba 0.220 0.550 0.770
Tl 0.871 0.129 0.000
Tl 0.129 0.871 0.000

=====

# Ba3Tl

Crystalline Ba3Tl at its relaxed geometry (PBE, Alexandria via LeMat-Bulk).

Output
Its space-group type is Pmmn. The calculation puts the density of states at the Fermi level at 3.407 states/eV/f.u. As for the magnetic moment: 0.000 μB/atom. Its final energy is -8.7 eV per formula unit. The formation energy comes out at -0.60 eV per formula unit.

abc: 6.005 7.702 8.042
angles: 90.00 90.00 90.00
Fractional positions:
Ba 0.500 0.590 0.000
Ba 0.000 0.410 0.500
Ba 0.000 0.848 0.254
Ba 0.000 0.848 0.746
Ba 0.500 0.152 0.754
Ba 0.500 0.152 0.246
Tl 0.000 0.289 0.000
Tl 0.500 0.711 0.500